No. 1
{"formula": "InSnH", "functional": "PBE", "state": "optimized geometry", "vol_a3_per_fu": 61.9, "total_energy_ev_per_atom": -3.071, "dos_ef_per_ev_atom": 0.267, "e_above_lowest_polymorph_mev_per_atom": 224, "space_group": "C2/m (12)", "lattice_angstrom": [[5.747, -1.690, 0.000], [5.747, 1.690, 0.000], [-0.666, 0.000, 6.371]], "species": ["In", "In", "Sn", "Sn", "H", "H"], "fractional_positions": [[0.138, 0.138, 0.201], [0.862, 0.862, 0.799], [0.121, 0.121, 0.665], [0.879, 0.879, 0.335], [0.402, 0.402, 0.939], [0.598, 0.598, 0.061]]}


No. 2
{"formula": "ZrNi4", "functional": "PBE", "state": "optimized geometry", "formation_energy_ev_per_atom": 0.909, "vol_a3_per_fu": 85.7, "total_energy_ev_per_atom": -5.425, "dos_ef_per_ev_atom": 1.278, "e_above_lowest_polymorph_mev_per_atom": 1172, "space_group": "Im-3m (229)", "lattice_angstrom": [[-2.777, 2.777, 2.777], [2.777, -2.777, 2.777], [2.777, 2.777, -2.777]], "species": ["Zr", "Ni", "Ni", "Ni", "Ni"], "fractional_positions": [[0.000, 0.000, 0.000], [0.000, 0.000, 0.500], [0.000, 0.500, 0.000], [0.500, 0.000, 0.000], [0.500, 0.500, 0.500]]}


No. 3
{"formula": "ZrUPa2As4", "functional": "PBE", "state": "optimized geometry", "formation_energy_ev_per_atom": -0.993, "vol_a3_per_fu": 186.1, "total_energy_ev_per_atom": -8.172, "dos_ef_per_ev_atom": 1.625, "space_group": "P2/m (10)", "lattice_angstrom": [[6.955, 0.000, 0.000], [0.000, 4.043, 0.000], [-2.328, 0.000, 6.619]], "species": ["Zr", "U", "Pa", "Pa", "As", "As", "As", "As"], "fractional_positions": [[0.000, 0.000, 0.000], [0.000, 0.500, 0.500], [0.500, 0.000, 0.500], [0.500, 0.500, 0.000], [0.240, 0.500, 0.242], [0.244, 0.000, 0.754], [0.756, 0.000, 0.246], [0.760, 0.500, 0.758]]}


No. 4
{"formula": "MgFeOs", "functional": "PBE", "state": "optimized geometry", "formation_energy_ev_per_atom": 0.189, "vol_a3_per_fu": 41.9, "total_energy_ev_per_atom": -6.906, "dos_ef_per_ev_atom": 0.807, "e_above_lowest_polymorph_mev_per_atom": 54, "space_group": "Fmmm (69)", "lattice_angstrom": [[0.000, 4.105, 4.408], [2.315, 0.000, 4.408], [2.315, 4.105, 0.000]], "species": ["Mg", "Mg", "Fe", "Fe", "Os", "Os"], "fractional_positions": [[0.161, 0.839, 0.161], [0.839, 0.161, 0.839], [0.250, 0.250, 0.250], [0.750, 0.750, 0.750], [0.360, 0.360, 0.640], [0.640, 0.640, 0.360]]}


No. 5
{"formula": "CeMgCoAu", "functional": "PBE", "state": "optimized geometry", "formation_energy_ev_per_atom": -0.238, "vol_a3_per_fu": 79.0, "total_energy_ev_per_atom": -4.716, "dos_ef_per_ev_atom": 1.397, "space_group": "F-43m (216)", "lattice_angstrom": [[0.000, 3.406, 3.406], [3.406, 0.000, 3.406], [3.406, 3.406, 0.000]], "species": ["Ce", "Mg", "Co", "Au"], "fractional_positions": [[0.000, 0.000, 0.000], [0.500, 0.500, 0.500], [0.250, 0.250, 0.250], [0.750, 0.750, 0.750]]}


No. 6
{"formula": "AlPtSe2", "functional": "PBE", "state": "optimized geometry", "e_form_raw_ev_per_atom": -0.33, "vol_a3_per_fu": 93.8, "total_energy_ev_per_atom": -4.520, "dos_ef_per_ev_atom": 1.016, "space_group": "I-42d (122)", "lattice_angstrom": [[-2.881, 2.881, 5.648], [2.881, -2.881, 5.648], [2.881, 2.881, -5.648]], "species": ["Al", "Al", "Pt", "Pt", "Se", "Se", "Se", "Se"], "fractional_positions": [[0.000, 0.000, 0.000], [0.750, 0.250, 0.500], [0.250, 0.750, 0.500], [0.500, 0.500, 0.000], [0.119, 0.625, 0.994], [0.375, 0.369, 0.494], [0.631, 0.125, 0.006], [0.875, 0.881, 0.506]]}